## i
Pa3Mn: optimized geometry, PBE.

Results
space-group type = No. 71
total magnetization = 0.00 Bohr magnetons per cell

```
Pa3Mn
1.0
-2.264 -2.165 -1.192
2.787 -4.191 2.317
-2.719 3.650 3.248
Pa Mn
3 1
Direct
0.284 0.701 0.568 Pa
0.500 0.417 0.000 Pa
0.716 0.132 0.432 Pa
0.000 0.917 0.000 Mn
```

***

## ii
Pa3Mn: optimized geometry, PBE.

Results
space-group type = No. 25
total magnetization = 0.00 Bohr magnetons per cell

```
Pa3Mn
1.0
-2.162 1.616 1.642
-1.713 -2.564 0.268
4.214 -2.027 7.544
Pa Mn
3 1
Direct
0.000 0.500 0.462 Pa
0.500 0.500 0.160 Pa
0.500 0.000 0.743 Pa
0.000 0.000 0.969 Mn
```

***

Order from most stable to least stable according to the calculation: i, ii

***

## i
PaMn6: optimized geometry, PBE.

Results
space-group type = No. 229
total magnetization = 0.00 Bohr magnetons per cell

```
PaMn6
1.0
5.228 0.000 0.000
-1.743 4.929 0.000
-1.743 -2.465 4.269
Pa Mn
1 6
Direct
0.000 0.000 0.000 Pa
0.250 0.750 0.500 Mn
0.500 0.750 0.250 Mn
0.250 0.500 0.750 Mn
0.750 0.250 0.500 Mn
0.500 0.250 0.750 Mn
0.750 0.500 0.250 Mn
```

***

## ii
PaMn6: optimized geometry, PBE.

Results
space-group type = No. 62
total magnetization = 3.58 Bohr magnetons per cell

```
PaMn6
1.0
-1.563 -4.109 -1.292
4.217 0.499 -6.691
7.928 -4.481 4.662
Pa Mn
4 24
Direct
0.750 0.257 0.942 Pa
0.250 0.743 0.058 Pa
0.750 0.757 0.558 Pa
0.250 0.243 0.442 Pa
0.750 0.621 0.028 Mn
0.250 0.379 0.972 Mn
0.750 0.121 0.472 Mn
0.250 0.879 0.528 Mn
0.010 0.431 0.191 Mn
0.510 0.569 0.809 Mn
0.490 0.931 0.309 Mn
0.990 0.069 0.691 Mn
0.990 0.569 0.809 Mn
0.490 0.431 0.191 Mn
0.510 0.069 0.691 Mn
0.010 0.931 0.309 Mn
0.250 0.137 0.148 Mn
0.750 0.863 0.852 Mn
0.250 0.637 0.352 Mn
0.750 0.363 0.648 Mn
0.250 0.810 0.758 Mn
0.750 0.190 0.242 Mn
0.250 0.310 0.742 Mn
0.750 0.690 0.258 Mn
0.250 0.557 0.584 Mn
0.750 0.443 0.416 Mn
0.250 0.057 0.916 Mn
0.750 0.943 0.084 Mn
```

***

Order from most stable to least stable according to the calculation: ii, i

***

## i
Pa2MnPb: optimized geometry, PBE.

Results
space-group type = No. 123
total magnetization = 0.00 Bohr magnetons per cell

```
Pa2MnPb
1.0
3.173 0.000 0.000
0.000 3.173 0.000
0.000 0.000 8.821
Pb Pa Mn
1 2 1
Direct
0.500 0.500 0.500 Pb
0.000 0.000 0.800 Pa
0.000 0.000 0.200 Pa
0.500 0.500 0.000 Mn
```

***

## ii
Pa2MnPb: optimized geometry, PBE.

Results
space-group type = No. 166
total magnetization = 0.00 Bohr magnetons per cell

```
Pa2MnPb
1.0
-0.142 3.661 0.870
-1.057 1.076 3.450
7.415 1.291 3.924
Pb Pa Mn
1 2 1
Direct
0.500 0.500 0.500 Pb
0.274 0.274 0.177 Pa
0.726 0.726 0.823 Pa
0.000 0.000 0.000 Mn
```

***

Order from most stable to least stable according to the calculation: i, ii

***

## i
PmPaMn: optimized geometry, PBE.

Results
space-group type = No. 12
total magnetization = 0.00 Bohr magnetons per cell

```
PmPaMn
1.0
3.523 0.000 0.000
-1.762 3.888 -0.853
0.000 -2.252 11.293
Pm Pa Mn
2 2 2
Direct
0.934 0.867 0.131 Pm
0.066 0.133 0.869 Pm
0.655 0.310 0.645 Pa
0.345 0.690 0.355 Pa
0.342 0.683 0.600 Mn
0.658 0.317 0.400 Mn
```

***

## ii
PmPaMn: optimized geometry, PBE.

Results
space-group type = No. 107
total magnetization = 0.00 Bohr magnetons per cell

```
PmPaMn
1.0
-1.391 1.913 2.424
-3.086 -0.765 -1.168
2.048 -5.160 2.881
Pa Mn Pm
1 1 1
Direct
0.295 0.295 0.590 Pa
0.702 0.702 0.404 Mn
0.003 0.003 0.006 Pm
```

***

Order from most stable to least stable according to the calculation: ii, i

***

## i
PrPaMn: optimized geometry, PBE.

Results
space-group type = No. 12
total magnetization = 0.42 Bohr magnetons per cell

```
PrPaMn
1.0
-2.206 3.627 -0.430
-3.655 -2.160 0.431
3.281 0.341 7.806
Pa Pr Mn
2 2 2
Direct
0.921 0.921 0.805 Pa
0.079 0.079 0.195 Pa
0.341 0.341 0.660 Pr
0.659 0.659 0.340 Pr
0.500 0.000 0.000 Mn
0.000 0.500 0.000 Mn
```

***

## ii
PrPaMn: optimized geometry, PBE.

Results
space-group type = No. 187
total magnetization = 0.00 Bohr magnetons per cell

```
PrPaMn
1.0
4.075 0.000 0.000
-2.038 3.529 0.000
0.000 0.000 5.204
Pr Pa Mn
1 1 1
Direct
0.000 0.000 0.000 Pr
0.667 0.333 0.500 Pa
0.333 0.667 0.500 Mn
```

***

Order from most stable to least stable according to the calculation: ii, i

***

## i
PaMnPt6: optimized geometry, PBE.

Results
space-group type = No. 123
total magnetization = 4.68 Bohr magnetons per cell

```
PaMnPt6
1.0
4.106 0.000 0.000
0.000 4.106 0.000
0.000 0.000 7.965
Pa Mn Pt
1 1 6
Direct
0.000 0.000 0.500 Pa
0.000 0.000 0.000 Mn
0.500 0.500 0.000 Pt
0.500 0.500 0.500 Pt
0.500 0.000 0.242 Pt
0.500 0.000 0.758 Pt
0.000 0.500 0.242 Pt
0.000 0.500 0.758 Pt
```

***

## ii
PaMnPt6: optimized geometry, PBE.

Results
space-group type = No. 25
total magnetization = 4.28 Bohr magnetons per cell

```
PaMnPt6
1.0
-0.343 -4.619 -0.210
4.568 -0.239 -2.201
2.470 -0.419 5.173
Pa Mn Pt
1 1 6
Direct
0.000 0.664 0.000 Pa
0.500 0.341 0.500 Mn
0.500 0.837 0.260 Pt
0.000 0.170 0.748 Pt
0.000 0.170 0.252 Pt
0.500 0.837 0.740 Pt
0.000 0.667 0.500 Pt
0.500 0.313 0.000 Pt
```

***

Order from most stable to least stable according to the calculation: i, ii